# CdHg2As2, optimized geometry, DFT PBE
data_CdHg2As2
_cell_length_a 3.7521
_cell_length_b 3.7521
_cell_length_c 17.3705
_cell_angle_alpha 90.00
_cell_angle_beta 90.00
_cell_angle_gamma 90.00
_symmetry_space_group_name_H-M 'I 4/m m m'
_symmetry_Int_Tables_number 139
_symmetry_space_group_name_Hall '-I 4 2'
loop_
_atom_site_label
_atom_site_fract_x
_atom_site_fract_y
_atom_site_fract_z
Cd1 0.0000 0.0000 0.0000
Hg1 0.0000 0.0000 0.4008
As1 0.0000 0.5000 0.2500
# Excess energy over the best structure of this formula in the dataset ... 106.0 meV/atom
# Calculated formation energy ... 0.198 eV/atom
# E_tot ... -19.7 eV for the cell shown



# Ce2NdAl2Si2, optimized geometry, DFT PBE
data_Ce2NdAl2Si2
_cell_length_a 4.3057
_cell_length_b 4.3057
_cell_length_c 28.1759
_cell_angle_alpha 90.00
_cell_angle_beta 90.00
_cell_angle_gamma 120.00
_symmetry_space_group_name_H-M 'R -3 m'
_symmetry_Int_Tables_number 166
_symmetry_space_group_name_Hall '-R 3 2"'
loop_
_atom_site_label
_atom_site_fract_x
_atom_site_fract_y
_atom_site_fract_z
Ce1 0.0000 0.0000 0.1387
Nd1 0.0000 0.0000 0.0000
Al1 0.0000 0.0000 0.4066
Si1 0.0000 0.0000 0.2613
# E_form (uncorrected) ... -0.403 eV/atom
# E_tot ... -113.4 eV for the cell shown



# LiSO2F, optimized geometry, DFT PBE
data_LiSO2F
_cell_length_a 4.5334
_cell_length_b 4.5334
_cell_length_c 3.7197
_cell_angle_alpha 90.00
_cell_angle_beta 90.00
_cell_angle_gamma 90.00
_symmetry_space_group_name_H-M 'P 4/m m m'
_symmetry_Int_Tables_number 123
_symmetry_space_group_name_Hall '-P 4 2'
loop_
_atom_site_label
_atom_site_fract_x
_atom_site_fract_y
_atom_site_fract_z
Li1 0.0000 0.0000 0.0000
S1 0.5000 0.5000 0.0000
O1 0.0000 0.5000 0.5000
F1 0.5000 0.5000 0.5000
# E_form (uncorrected) ... 0.509 eV/atom
# E_tot ... -15.3 eV for the cell shown



# NiAg2Br, optimized geometry, DFT PBE
data_NiAg2Br
_cell_length_a 3.3493
_cell_length_b 3.3493
_cell_length_c 6.6448
_cell_angle_alpha 90.00
_cell_angle_beta 90.00
_cell_angle_gamma 90.00
_symmetry_space_group_name_H-M 'P 4/m m m'
_symmetry_Int_Tables_number 123
_symmetry_space_group_name_Hall '-P 4 2'
loop_
_atom_site_label
_atom_site_fract_x
_atom_site_fract_y
_atom_site_fract_z
Ni1 0.0000 0.0000 0.0000
Ag1 0.5000 0.5000 0.2088
Br1 0.0000 0.0000 0.5000
# Excess energy over the best structure of this formula in the dataset ... 116.9 meV/atom
# E_form (uncorrected) ... 0.279 eV/atom
# E_tot ... -12.0 eV for the cell shown



# Cr3AgPb, optimized geometry, DFT PBE
data_Cr3AgPb
_cell_length_a 5.2214
_cell_length_b 5.2214
_cell_length_c 5.2214
_cell_angle_alpha 90.00
_cell_angle_beta 90.00
_cell_angle_gamma 90.00
_symmetry_space_group_name_H-M 'P m -3 m'
_symmetry_Int_Tables_number 221
_symmetry_space_group_name_Hall '-P 4 2 3'
loop_
_atom_site_label
_atom_site_fract_x
_atom_site_fract_y
_atom_site_fract_z
Cr1 0.0000 0.0000 0.5000
Ag1 0.5000 0.5000 0.5000
Pb1 0.0000 0.0000 0.0000
# Excess energy over the best structure of this formula in the dataset ... 171.3 meV/atom
# Calculated formation energy ... 1.498 eV/atom
# E_tot ... -27.9 eV for the cell shown



# PuScSn, optimized geometry, DFT PBE
data_PuScSn
_cell_length_a 5.0753
_cell_length_b 5.0753
_cell_length_c 3.4625
_cell_angle_alpha 90.00
_cell_angle_beta 90.00
_cell_angle_gamma 120.00
_symmetry_space_group_name_H-M 'P 3 m 1'
_symmetry_Int_Tables_number 156
_symmetry_space_group_name_Hall 'P 3 -2"'
loop_
_atom_site_label
_atom_site_fract_x
_atom_site_fract_y
_atom_site_fract_z
Pu1 0.0000 0.0000 0.0000
Sc1 0.6667 0.3333 0.4656
Sn1 0.3333 0.6667 0.5452
# Excess energy over the best structure of this formula in the dataset ... 217.9 meV/atom
# Calculated formation energy ... -0.261 eV/atom
# E_tot ... -25.5 eV for the cell shown



# Rb4Ac3PbO8, optimized geometry, DFT PBE
data_Rb4Ac3PbO8
_cell_length_a 7.6660
_cell_length_b 7.6660
_cell_length_c 20.0026
_cell_angle_alpha 90.00
_cell_angle_beta 90.00
_cell_angle_gamma 120.00
_symmetry_space_group_name_H-M 'R -3 m'
_symmetry_Int_Tables_number 166
_symmetry_space_group_name_Hall '-R 3 2"'
loop_
_atom_site_label
_atom_site_fract_x
_atom_site_fract_y
_atom_site_fract_z
Rb1 0.0000 0.0000 0.0000
Rb2 0.0000 0.5000 0.0000
Ac1 0.0000 0.5000 0.5000
Pb1 0.0000 0.0000 0.5000
O1 0.0000 0.0000 0.2278
O2 0.0020 0.5010 0.2303
# E_form (uncorrected) ... -2.149 eV/atom
# E_tot ... -281.9 eV for the cell shown



# CsRh, optimized geometry, DFT PBE
data_CsRh
_cell_length_a 9.0777
_cell_length_b 9.0777
_cell_length_c 9.0777
_cell_angle_alpha 90.00
_cell_angle_beta 90.00
_cell_angle_gamma 90.00
_symmetry_space_group_name_H-M 'I -4 3 m'
_symmetry_Int_Tables_number 217
_symmetry_space_group_name_Hall 'I -4 2 3'
loop_
_atom_site_label
_atom_site_fract_x
_atom_site_fract_y
_atom_site_fract_z
Cs1 0.2269 0.2269 0.7731
Rh1 0.1026 0.1026 0.1026
# Calculated formation energy ... 0.813 eV/atom
# E_tot ... -52.6 eV for the cell shown